# 1
A plane-wave DFT calculation with GGA-PBE was carried out for a relaxed SnHg6Pb5 crystal.

Cell: 12.3325 10.6831 5.8723 Å, 90.00 117.34 90.00°
Space group C2/m (No. 12)
One atom of each set of equivalent atoms:
Sn: 0.0000 0.0000 0.0000
Hg: 0.2476 0.1642 0.2475
Hg: 0.2481 0.5000 0.2485
Pb: 0.0000 0.1638 0.5000
Pb: 0.0000 0.3311 0.0000
Pb: 0.0000 0.5000 0.5000

=====

# 2
A plane-wave DFT calculation with GGA-PBE was carried out for a relaxed SnHg4Pb crystal.

## Properties
ΔE to the lowest computed polymorph in kcal/mol of atoms: 1.77

Cell: 8.6376 8.6376 8.6376 Å, 90.00 90.00 90.00°
Space group F-43m (No. 216)
One atom of each set of equivalent atoms:
Sn: 0.0000 0.0000 0.0000
Hg: 0.1251 0.1251 0.3749
Pb: 0.2500 0.2500 0.7500

=====

# 3
A plane-wave DFT calculation with GGA-PBE was carried out for a relaxed SnHgPb2 crystal.

## Properties
ΔE to the lowest computed polymorph in kcal/mol of atoms: 0.15

Cell: 4.8767 4.8767 4.8401 Å, 90.00 90.00 90.00°
Space group P4/mmm (No. 123)
One atom of each set of equivalent atoms:
Sn: 0.0000 0.0000 0.0000
Hg: 0.5000 0.5000 0.0000
Pb: 0.0000 0.5000 0.5000

=====

# 4
A plane-wave DFT calculation with GGA-PBE was carried out for a relaxed Sn6HgPb2 crystal.

## Properties
ΔE to the lowest computed polymorph in kcal/mol of atoms: 0.00

Cell: 9.4611 16.5641 3.2818 Å, 90.00 90.00 90.00°
Space group Cmmm (No. 65)
One atom of each set of equivalent atoms:
Sn: 0.1658 0.0000 0.0000
Sn: 0.1681 0.3322 0.0000
Hg: 0.0000 0.5000 0.5000
Pb: 0.0000 0.1664 0.5000

=====

Number 1: total moment 0.000 μB per atom, total DFT energy (no corrections) -2.0012 eV per atom. Number 2: total moment 0.000 μB per atom, total DFT energy (no corrections) -1.3444 eV per atom. Number 3: total moment 0.000 μB per atom, total DFT energy (no corrections) -2.9024 eV per atom. Number 4: total moment 0.000 μB per atom, total DFT energy (no corrections) -3.4805 eV per atom.